The following is a PBE calculation of crystalline ZnCo2H at its relaxed geometry, from the Alexandria database.

a = 4.540 Å, b = 2.627 Å, c = 6.394 Å
α = 90.00°, β = 103.86°, γ = 90.00°
Positions (direct):
Zn1 0.000 0.000 0.000
Zn2 0.500 0.500 0.000
Co1 0.222 0.000 0.664
Co2 0.446 0.000 0.336
Co3 0.722 0.500 0.664
Co4 0.946 0.500 0.336
H1 0.334 0.500 0.499
H2 0.834 0.000 0.499

Summary:
SG ... No. 8
Total magnetization ... 0.5886 μB/atom
Energy relative to the lowest polymorph listed for this composition ... 0.000 eV/atom
Crystal system ... monoclinic
Calculated total energy ... -18.88 eV/f.u.